VASP calculation (PBE) on a geometry-optimized MgRe3 structure.

ΔE_f = 0.36 eV per atom
Symmetry = P6_3/mmc (194)
DOS at the Fermi energy = 4.5 states/eV/cell
Density = 15.9 g/cm3

a = 5.4972 Å, b = 5.4972 Å, c = 4.6492 Å
α = 90.00°, β = 90.00°, γ = 120.00°
Positions (direct):
Mg 0.3333 0.6667 0.2500
Mg 0.6667 0.3333 0.7500
Re 0.1691 0.3382 0.7500
Re 0.1691 0.8309 0.7500
Re 0.3382 0.1691 0.2500
Re 0.6618 0.8309 0.7500
Re 0.8309 0.1691 0.2500
Re 0.8309 0.6618 0.2500